V2Os2Au | PBE | optimized geometry

- Relative energy among the computed polymorphs: 78 meV per atom

Lattice parameters (Å, degrees): 7.349 7.349 2.818 90.00 90.00 90.00
Atoms (fractional coordinates):
Au 0.000 0.000 0.000
Au 0.500 0.500 0.000
Os 0.147 0.647 0.500
Os 0.647 0.853 0.500
Os 0.853 0.353 0.500
Os 0.353 0.147 0.500
V 0.356 0.856 0.000
V 0.856 0.644 0.000
V 0.644 0.144 0.000
V 0.144 0.356 0.000